No. 1
Below is a relaxed Dy5Tl2N2 crystal, with properties calculated at the PBE level.

abc: 4.7384 4.7384 9.5534
angles: 90.00 90.00 90.00
Sites, in units of the cell vectors:
Dy: 0.5000 0.0000 0.2244
Dy: 0.5000 0.0000 0.7756
Dy: 0.5000 0.5000 0.5000
Dy: 0.0000 0.5000 0.2244
Dy: 0.0000 0.5000 0.7756
Tl: 0.0000 0.0000 0.0000
Tl: 0.0000 0.0000 0.5000
N: 0.5000 0.5000 0.2595
N: 0.5000 0.5000 0.7405

Results
The density of states at the Fermi level is 5.19 states/eV per cell. The calculation puts the raw formation energy at -80.6 kJ per mole of atoms. Its volume is 23.83 Å³/atom.



No. 2
Below is a relaxed TiHgSe2N crystal, with properties calculated at the PBE level.

abc: 5.1762 5.1762 3.7887
angles: 90.00 90.00 90.00
Sites, in units of the cell vectors:
N: 0.0000 0.0000 0.5000
Hg: 0.5000 0.5000 0.5000
Se: 0.0000 0.5000 0.0000
Se: 0.5000 0.0000 0.0000
Ti: 0.0000 0.0000 0.0000

Results
The density of states at the Fermi level is 4.79 states/eV per cell. The value obtained for the energy above the lowest structure with this stoichiometry is 0.00 eV per formula unit. The calculation puts the raw formation energy at -4.9 kJ per mole of atoms. Its volume is 20.30 Å³/atom.



No. 3
Below is a relaxed BeFeW2 crystal, with properties calculated at the PBE level.

abc: 2.6733 2.6733 7.5477
angles: 90.00 90.00 103.85
Site moments in Bohr magnetons follow the coordinates.
Sites, in units of the cell vectors:
Be: 0.0000 0.0000 0.5204  -0.04
Fe: 0.5000 0.5000 0.7143  1.93
W: 0.0000 0.0000 0.9809  -0.04
W: 0.5000 0.5000 0.2845  -0.01

Results
The density of states at the Fermi level is 1.88 states/eV per cell. As for the energy of formation from the pure elements: 0.099 eV/atom. Its volume is 13.09 Å³/atom.



No. 4
Below is a relaxed CsCu2TeCl8 crystal, with properties calculated at the PBE level.

abc: 6.4771 6.4771 10.9051
angles: 72.72 72.72 60.00
Site moments in Bohr magnetons follow the coordinates.
Sites, in units of the cell vectors:
Cs: 0.5000 0.5000 0.5000  0.00
Cu: 0.2591 0.2591 0.2227  0.33
Cu: 0.7409 0.7409 0.7773  0.33
Te: 0.0000 0.0000 0.0000  0.00
Cl: 0.1879 0.1879 0.4362  0.11
Cl: 0.6285 0.2725 0.1499  0.03
Cl: 0.8121 0.8121 0.5638  0.11
Cl: 0.9491 0.6285 0.1499  0.03
Cl: 0.0509 0.3715 0.8501  0.03
Cl: 0.2725 0.9491 0.1499  0.03
Cl: 0.7275 0.0509 0.8501  0.03
Cl: 0.3715 0.7275 0.8501  0.03

Results
The density of states at the Fermi level is 13.48 states/eV per cell. The calculation puts the raw formation energy at -73.9 kJ per mole of atoms. Its volume is 31.02 Å³/atom.



No. 5
Below is a relaxed K12I3Br5 crystal, with properties calculated at the PBE level.

abc: 17.7865 17.7865 17.7865
angles: 109.47 109.47 109.47
Sites, in units of the cell vectors:
I: 0.7500 0.3750 0.1250
I: 0.8750 0.7500 0.1250
I: 0.3750 0.7500 0.6250
I: 0.2500 0.1250 0.3750
I: 0.8750 0.1250 0.2500
I: 0.3750 0.6250 0.2500
I: 0.6250 0.3750 0.7500
I: 0.1250 0.8750 0.7500
I: 0.7500 0.8750 0.6250
I: 0.6250 0.2500 0.3750
I: 0.1250 0.2500 0.8750
I: 0.2500 0.6250 0.8750
Br: 0.1250 0.3750 0.2500
Br: 0.0000 0.5000 0.0000
Br: 0.0000 0.0000 0.0000
Br: 0.3750 0.2500 0.1250
Br: 0.5000 0.0000 0.5000
Br: 0.5000 0.5000 0.0000
Br: 0.1250 0.7500 0.3750
Br: 0.7500 0.1250 0.8750
Br: 0.7500 0.6250 0.3750
Br: 0.3750 0.1250 0.7500
Br: 0.6250 0.8750 0.2500
Br: 0.5000 0.5000 0.5000
Br: 0.5000 0.0000 0.0000
Br: 0.0000 0.0000 0.5000
Br: 0.2500 0.3750 0.6250
Br: 0.2500 0.8750 0.1250
Br: 0.0000 0.5000 0.5000
Br: 0.8750 0.2500 0.6250
Br: 0.6250 0.7500 0.8750
Br: 0.8750 0.6250 0.7500
K: 0.7133 0.1266 0.0379
K: 0.3246 0.5379 0.4113
K: 0.9621 0.3734 0.2867
K: 0.5379 0.2133 0.1266
K: 0.5867 0.7133 0.6754
K: 0.9621 0.5887 0.1754
K: 0.3246 0.7867 0.4133
K: 0.0887 0.9133 0.1266
K: 0.5887 0.9621 0.6754
K: 0.7133 0.5867 0.1754
K: 0.7867 0.4621 0.3734
K: 0.8246 0.9113 0.0379
K: 0.1266 0.7133 0.5379
K: 0.3734 0.4113 0.0867
K: 0.0867 0.9113 0.3734
K: 0.4133 0.1266 0.5887
K: 0.0867 0.1754 0.2133
K: 0.4621 0.6754 0.0887
K: 0.8246 0.9133 0.2867
K: 0.1266 0.4133 0.0887
K: 0.3734 0.9621 0.7867
K: 0.5887 0.6266 0.4133
K: 0.9113 0.8246 0.5379
K: 0.7867 0.3246 0.9133
K: 0.4113 0.3734 0.5867
K: 0.0887 0.1754 0.4621
K: 0.2133 0.6754 0.0867
K: 0.1754 0.0867 0.7133
K: 0.6266 0.0379 0.2133
K: 0.8734 0.5867 0.9113
K: 0.5379 0.3246 0.9113
K: 0.5867 0.8734 0.4113
K: 0.9133 0.8246 0.7867
K: 0.9133 0.0887 0.6266
K: 0.8734 0.2867 0.4621
K: 0.1754 0.0887 0.9621
K: 0.6266 0.5887 0.9133
K: 0.4113 0.0379 0.3246
K: 0.2867 0.4133 0.8246
K: 0.2133 0.5379 0.6266
K: 0.9113 0.0867 0.8734
K: 0.6754 0.2133 0.5867
K: 0.4621 0.7867 0.8734
K: 0.0379 0.4113 0.8246
K: 0.4133 0.2867 0.3246
K: 0.0379 0.6266 0.7133
K: 0.6754 0.4621 0.5887
K: 0.2867 0.8734 0.9621

Results
The density of states at the Fermi level is 25.44 states/eV per cell. The calculation puts the raw formation energy at -111.5 kJ per mole of atoms. Its volume is 54.14 Å³/atom.



No. 6
Below is a relaxed Dy2HoErTm crystal, with properties calculated at the PBE level.

abc: 7.1632 8.2744 6.9956
angles: 126.26 90.00 90.00
Sites, in units of the cell vectors:
Dy: 0.5000 0.3079 0.0000
Dy: 0.0000 0.6921 0.0000
Dy: 0.5000 0.6921 0.0000
Dy: 0.0000 0.3079 0.0000
Ho: 0.2500 0.7247 0.4494
Ho: 0.7500 0.2753 0.5506
Er: 0.7500 0.7240 0.4480
Er: 0.2500 0.2760 0.5520
Tm: 0.2500 0.0000 0.0001
Tm: 0.7500 0.0000 0.9999

Results
The density of states at the Fermi level is 13.82 states/eV per cell. As for the energy of formation from the pure elements: 0.415 eV/atom. Its volume is 33.44 Å³/atom.



No. 7
Below is a relaxed Tl3Cr2SnSe6 crystal, with properties calculated at the PBE level.

abc: 6.8119 6.8119 7.8793
angles: 98.29 98.29 119.92
Site moments in Bohr magnetons follow the coordinates.
Sites, in units of the cell vectors:
Tl: 0.1567 0.8433 0.5000  -0.01
Tl: 0.8433 0.1567 0.5000  -0.01
Tl: 0.5000 0.5000 0.5000  -0.01
Cr: 0.3333 0.6667 0.0000  2.88
Cr: 0.6667 0.3333 0.0000  2.88
Sn: 0.0000 0.0000 0.0000  -0.07
Se: 0.9375 0.5746 0.8133  -0.10
Se: 0.6970 0.6970 0.1792  -0.11
Se: 0.0625 0.4254 0.1867  -0.10
Se: 0.5746 0.9375 0.8133  -0.10
Se: 0.3030 0.3030 0.8208  -0.11
Se: 0.4254 0.0625 0.1867  -0.10

Results
The density of states at the Fermi level is 2.52 states/eV per cell. The calculation puts the raw formation energy at -44.6 kJ per mole of atoms. Its volume is 25.29 Å³/atom.



No. 8
Below is a relaxed Tm4CuRu crystal, with properties calculated at the PBE level.

abc: 3.3999 3.3999 12.3213
angles: 90.00 90.00 90.00
Sites, in units of the cell vectors:
Tm: 0.5000 0.5000 0.8628
Tm: 0.5000 0.5000 0.1372
Tm: 0.0000 0.0000 0.6311
Tm: 0.0000 0.0000 0.3689
Cu: 0.0000 0.0000 0.0000
Ru: 0.5000 0.5000 0.5000

Results
The density of states at the Fermi level is 5.06 states/eV per cell. The value obtained for the energy above the lowest structure with this stoichiometry is 0.00 eV per formula unit. As for the energy of formation from the pure elements: -0.265 eV/atom. Its volume is 23.74 Å³/atom.



No. 9
Below is a relaxed VCd2Au crystal, with properties calculated at the PBE level.

abc: 7.7638 7.7638 6.1830
angles: 51.11 51.11 90.00
Site moments in Bohr magnetons follow the coordinates.
Sites, in units of the cell vectors:
Cd: 0.6363 0.1250 0.2500  0.01
Cd: 0.1137 0.6250 0.2500  0.01
Cd: 0.3750 0.3637 0.7500  0.01
Cd: 0.8750 0.8863 0.7500  0.01
Au: 0.0000 0.0000 0.0000  0.06
Au: 0.7500 0.2500 0.5000  0.06
V: 0.5000 0.5000 0.0000  2.72
V: 0.2500 0.7500 0.5000  2.72

Results
The density of states at the Fermi level is 10.35 states/eV per cell. The value obtained for the energy above the lowest structure with this stoichiometry is 0.92 eV per formula unit. As for the energy of formation from the pure elements: 0.403 eV/atom. Its volume is 21.43 Å³/atom.



No. 10
Below is a relaxed CaTm2Zr crystal, with properties calculated at the PBE level.

abc: 3.4701 3.4701 10.1303
angles: 90.00 90.00 90.00
Sites, in units of the cell vectors:
Ca: 0.5000 0.5000 0.5000
Tm: 0.0000 0.0000 0.7859
Tm: 0.0000 0.0000 0.2141
Zr: 0.5000 0.5000 0.0000

Results
The density of states at the Fermi level is 6.38 states/eV per cell. The value obtained for the energy above the lowest structure with this stoichiometry is 0.00 eV per formula unit. As for the energy of formation from the pure elements: 0.098 eV/atom. Its volume is 30.50 Å³/atom.



No. 11
Below is a relaxed AlNi2Au crystal, with properties calculated at the PBE level.

abc: 4.5141 4.5141 4.5141
angles: 129.72 129.54 73.99
Sites, in units of the cell vectors:
Ni: 0.9996 0.9996 0.0000
Ni: 0.5004 0.5004 0.0000
Au: 0.2500 0.7500 0.5000
Al: 0.7500 0.2500 0.5000

Results
The density of states at the Fermi level is 1.95 states/eV per cell. As for the energy of formation from the pure elements: -0.324 eV/atom. Its volume is 13.30 Å³/atom.